1.
## CeCd2Cu9 (PBE)

Data for an optimized crystal structure of CeCd2Cu9.

abc: 5.0891 5.0891 8.5652
angles: 72.72 72.72 60.00
Last column: nearest neighbours and their distance in Å.
Element x y z (fractional)
Ce 0.0000 0.0000 0.0000  18 Cu 2.94-3.25
Cd 0.8559 0.8559 0.4322  12 Cu 2.93-2.99, 3 Cd 3.13
Cd 0.1441 0.1441 0.5678  12 Cu 2.93-2.99, 3 Cd 3.13
Cu 0.6667 0.6667 0.0000  6 Cu 2.50-2.51
Cu 0.3333 0.3333 0.0000  6 Cu 2.50-2.51
Cu 0.5000 0.5000 0.5000  6 Cu 2.48
Cu 0.4149 0.4149 0.2522  7 Cu 2.48-2.56
Cu 0.9180 0.4149 0.2522  7 Cu 2.48-2.56
Cu 0.4149 0.9180 0.2522  7 Cu 2.48-2.56
Cu 0.5851 0.5851 0.7478  7 Cu 2.48-2.56
Cu 0.5851 0.0820 0.7478  7 Cu 2.48-2.56
Cu 0.0820 0.5851 0.7478  7 Cu 2.48-2.56

## Properties
The density of states at the Fermi level is 0.675 states/eV/atom. The formation energy is -95 meV/atom. Its symmetry is R-3m, No. 166. As for the total energy: -3.814 eV per atom.

=====

2.
## CeCdCu5 (PBE)

Data for an optimized crystal structure of CeCdCu5.

abc: 5.0700 8.3267 10.5470
angles: 90.00 90.00 90.00
Last column: nearest neighbours and their distance in Å.
Element x y z (fractional)
Ce 0.2500 0.2463 0.9367  12 Cu 2.93-3.28, 1 Cd 3.28
Ce 0.7500 0.2537 0.4367  12 Cu 2.93-3.28, 1 Cd 3.28
Ce 0.2500 0.7463 0.5633  12 Cu 2.93-3.28, 1 Cd 3.28
Ce 0.7500 0.7537 0.0633  12 Cu 2.93-3.28, 1 Cd 3.28
Cd 0.2500 0.8631 0.8643  8 Cu 2.66-2.87
Cd 0.7500 0.6369 0.3643  8 Cu 2.66-2.87
Cd 0.2500 0.3631 0.6357  8 Cu 2.66-2.87
Cd 0.7500 0.1369 0.1357  8 Cu 2.66-2.87
Cu 0.2500 0.5840 0.0154  5 Cu 2.48-2.54
Cu 0.7500 0.9160 0.5154  5 Cu 2.48-2.54
Cu 0.2500 0.0840 0.4846  5 Cu 2.48-2.54
Cu 0.7500 0.4160 0.9846  5 Cu 2.48-2.54
Cu 0.7500 0.3160 0.7574  7 Cu 2.52-2.60
Cu 0.2500 0.1840 0.2574  7 Cu 2.52-2.60
Cu 0.7500 0.8160 0.7426  7 Cu 2.52-2.60
Cu 0.2500 0.6840 0.2426  7 Cu 2.52-2.60
Cu 0.2500 0.9453 0.1085  4 Cu 2.51-2.60, 1 Cd 2.66
Cu 0.7500 0.5547 0.6085  4 Cu 2.51-2.60, 1 Cd 2.66
Cu 0.2500 0.4453 0.3915  4 Cu 2.51-2.60, 1 Cd 2.66
Cu 0.7500 0.0547 0.8915  4 Cu 2.51-2.60, 1 Cd 2.66
Cu 0.9992 0.4321 0.1866  7 Cu 2.48-2.54
Cu 0.0008 0.0679 0.6866  7 Cu 2.48-2.54
Cu 0.5008 0.9321 0.3134  7 Cu 2.48-2.54
Cu 0.4992 0.5679 0.8134  7 Cu 2.48-2.54
Cu 0.0008 0.5679 0.8134  7 Cu 2.48-2.54
Cu 0.9992 0.9321 0.3134  7 Cu 2.48-2.54
Cu 0.4992 0.0679 0.6866  7 Cu 2.48-2.54
Cu 0.5008 0.4321 0.1866  7 Cu 2.48-2.54

## Properties
The density of states at the Fermi level is 0.880 states/eV/atom. The formation energy is -154 meV/atom. Its symmetry is Pnma, No. 62. As for the total energy: -4.058 eV per atom.

=====

3.
## CeCdCu17 (PBE)

Data for an optimized crystal structure of CeCdCu17.

abc: 6.4408 6.4408 6.4408
angles: 82.79 82.79 82.79
Last column: nearest neighbours and their distance in Å.
Element x y z (fractional)
Ce 0.6585 0.6585 0.6585  19 Cu 3.02-3.24
Cd 0.3435 0.3435 0.3435  16 Cu 2.99-3.30
Cu 0.2958 0.0021 0.7000  8 Cu 2.44-2.60
Cu 0.7000 0.2958 0.0021  8 Cu 2.44-2.60
Cu 0.0021 0.7000 0.2958  8 Cu 2.44-2.60
Cu 0.2958 0.7000 0.0021  8 Cu 2.44-2.60
Cu 0.0021 0.2958 0.7000  8 Cu 2.44-2.60
Cu 0.7000 0.0021 0.2958  8 Cu 2.44-2.60
Cu 0.3430 0.8556 0.3430  9 Cu 2.46-2.59
Cu 0.3430 0.3430 0.8556  9 Cu 2.46-2.59
Cu 0.8556 0.3430 0.3430  9 Cu 2.46-2.59
Cu 0.6498 0.1606 0.6498  9 Cu 2.47-2.73
Cu 0.6498 0.6498 0.1606  9 Cu 2.47-2.73
Cu 0.1606 0.6498 0.6498  9 Cu 2.47-2.73
Cu 0.9948 0.5025 0.9948  10 Cu 2.44-2.61
Cu 0.9948 0.9948 0.5025  10 Cu 2.44-2.61
Cu 0.5025 0.9948 0.9948  10 Cu 2.44-2.61
Cu 0.9061 0.9061 0.9061  7 Cu 2.44-2.73
Cu 0.1019 0.1019 0.1019  7 Cu 2.44-2.61

## Properties
The density of states at the Fermi level is 0.555 states/eV/atom. The formation energy is 2 meV/atom. Its symmetry is R3m, No. 160. As for the total energy: -4.023 eV per atom.

=====

4.
## CeCd6Cu6 (PBE)

Data for an optimized crystal structure of CeCd6Cu6.

abc: 5.2058 7.1603 7.1603
angles: 82.56 68.68 68.68
Last column: nearest neighbours and their distance in Å.
Element x y z (fractional)
Ce 0.0000 0.0000 0.0000  8 Cd 3.19-3.27, 4 Cu 3.36
Cd 0.3476 0.6524 0.6524  6 Cu 2.85-2.97, 3 Cd 2.87-2.97
Cd 0.6524 0.3476 0.3476  6 Cu 2.85-2.97, 3 Cd 2.87-2.97
Cd 0.0000 0.3394 0.6606  6 Cu 2.82, 1 Cd 3.03
Cd 0.0000 0.6606 0.3394  6 Cu 2.82, 1 Cd 3.03
Cd 0.3051 0.1949 0.1949  6 Cu 2.75-2.80, 2 Cd 2.97
Cd 0.6949 0.8051 0.8051  6 Cu 2.75-2.80, 2 Cd 2.97
Cu 0.0000 0.5000 0.0000  4 Cu 2.60-2.70, 6 Cd 2.75-2.85
Cu 0.5000 0.5000 0.0000  4 Cu 2.60-2.70, 6 Cd 2.75-2.85
Cu 0.0000 0.0000 0.5000  4 Cu 2.60-2.70, 6 Cd 2.75-2.85
Cu 0.5000 0.0000 0.5000  4 Cu 2.60-2.70, 6 Cd 2.75-2.85
Cu 0.5000 0.7756 0.2244  4 Cu 2.70, 6 Cd 2.80-2.97
Cu 0.5000 0.2244 0.7756  4 Cu 2.70, 6 Cd 2.80-2.97

## Properties
The density of states at the Fermi level is 0.993 states/eV/atom. The formation energy is -37 meV/atom. Its symmetry is Immm, No. 71. As for the total energy: -2.807 eV per atom.